First-principles (PBE with a Hubbard U) data for a geometry-optimized CdMoOF2 structure, as listed in the Alexandria database.

a b c (Å): 4.263 4.263 4.500
angles (deg): 90.00 90.00 90.00
Positions (direct):
Mo (0.500, 0.500, 0.500)
F (0.000, 0.500, 0.000)
F (0.500, 0.000, 0.000)
O (0.000, 0.000, 0.500)
Cd (0.000, 0.000, 0.000)

Output
DOS(E_F) (states/eV/cell): 0.2
ΔE to the lowest computed polymorph (meV/atom): 586.6
Space group: P4/mmm